TiRuPt2 | GGA-PBE | optimized geometry

Total magnetic moment: 0.00 μB per formula unit
Fermi-level density of states: 1.7278 states/eV/atom
Calculated formation energy: -0.248 eV per atom

CIF file:
```
data_TiRuPt2
_chemical_formula_sum 'Ti4 Ru4 Pt8'
_cell_length_a 6.289
_cell_length_b 6.289
_cell_length_c 6.289
_cell_angle_alpha 90.00
_cell_angle_beta 90.00
_cell_angle_gamma 90.00
_space_group_name_H-M_alt 'F m -3 m'
_space_group_IT_number 225
_space_group_name_Hall '-F 4 2 3'
loop_
_atom_site_label
_atom_site_fract_x
_atom_site_fract_y
_atom_site_fract_z
Ti1 0.000 0.000 0.000
Ru1 0.000 0.000 0.500
Pt1 0.250 0.250 0.250
```